(1)
A relaxed structure of La2PmGaSe5. Source: Alexandria via LeMat-Bulk, functional GGA-PBE.

- uncorrected energy (eV per cell) = -99.28
- formation energy (no corrections) (eV per atom) = -1.621
- M_tot (Bohr magnetons per cell) = 0.00

Cell lengths 9.259, 9.259, 12.744 Å; angles 90.00, 90.00, 154.10 degrees
Sites, in units of the cell vectors:
La1 0.121 0.879 0.500
La2 0.130 0.870 0.875
La3 0.870 0.130 0.375
La4 0.879 0.121 0.000
Pm1 0.187 0.813 0.191
Pm2 0.813 0.187 0.691
Ga1 0.436 0.564 0.673
Ga2 0.564 0.436 0.173
Se1 0.026 0.974 0.280
Se2 0.294 0.706 0.520
Se3 0.304 0.696 0.858
Se4 0.350 0.650 0.193
Se5 0.491 0.509 0.491
Se6 0.509 0.491 0.991
Se7 0.650 0.350 0.693
Se8 0.696 0.304 0.358
Se9 0.706 0.294 0.020
Se10 0.974 0.026 0.780

(2)
A relaxed structure of LaPmGaSn. Source: Alexandria via LeMat-Bulk, functional GGA-PBE.

- calculated formation energy (eV per formula unit) = -2.37
- uncorrected energy (eV per cell) = -19.07
- M_tot (Bohr magnetons per cell) = 0.00
- energy relative to the lowest polymorph listed for this composition (kJ/mol of formula units) = 46.7

Cell lengths 5.412, 5.412, 5.412 Å; angles 60.00, 60.00, 60.00 degrees
Sites, in units of the cell vectors:
La1 0.000 0.000 0.000
Pm1 0.500 0.500 0.500
Ga1 0.750 0.750 0.750
Sn1 0.250 0.250 0.250

(3)
A relaxed structure of LaPmGaSn. Source: Alexandria via LeMat-Bulk, functional GGA-PBE.

- calculated formation energy (eV per formula unit) = -2.85
- uncorrected energy (eV per cell) = -19.56
- M_tot (Bohr magnetons per cell) = 0.27
- energy relative to the lowest polymorph listed for this composition (kJ/mol of formula units) = 0.0

Cell lengths 4.288, 6.288, 6.288 Å; angles 43.39, 90.00, 90.00 degrees
Sites, in units of the cell vectors:
La1 0.000 0.000 0.000
Pm1 0.500 0.280 0.280
Ga1 0.500 0.558 0.558
Sn1 0.000 0.715 0.715

(4)
A relaxed structure of La2TbPmGa2. Source: Alexandria via LeMat-Bulk, functional GGA-PBE.

- calculated formation energy (eV per formula unit) = -2.46
- uncorrected energy (eV per cell) = -55.49
- M_tot (Bohr magnetons per cell) = 0.00

Cell lengths 5.175, 9.751, 6.726 Å; angles 90.00, 90.00, 90.00 degrees
Sites, in units of the cell vectors:
La1 0.000 0.054 0.000
La2 0.000 0.946 0.500
La3 0.500 0.172 0.296
La4 0.500 0.828 0.796
Tb1 0.500 0.446 0.970
Tb2 0.500 0.554 0.470
Pm1 0.000 0.335 0.673
Pm2 0.000 0.665 0.173
Ga1 0.000 0.357 0.196
Ga2 0.000 0.643 0.696
Ga3 0.500 0.159 0.771
Ga4 0.500 0.841 0.271

(5)
A relaxed structure of LaTbPmGa. Source: Alexandria via LeMat-Bulk, functional GGA-PBE.

- calculated formation energy (eV per formula unit) = -0.30
- uncorrected energy (eV per cell) = -17.64
- M_tot (Bohr magnetons per cell) = 1.29

Cell lengths 5.466, 5.466, 5.466 Å; angles 60.00, 60.00, 60.00 degrees
Sites, in units of the cell vectors:
La1 0.000 0.000 0.000
Tb1 0.500 0.500 0.500
Pm1 0.750 0.750 0.750
Ga1 0.250 0.250 0.250

(6)
A relaxed structure of LaPmThGa. Source: Alexandria via LeMat-Bulk, functional GGA-PBE.

- calculated formation energy (eV per formula unit) = -0.12
- uncorrected energy (eV per cell) = -20.24
- M_tot (Bohr magnetons per cell) = 0.01

Cell lengths 5.490, 5.490, 5.490 Å; angles 60.00, 60.00, 60.00 degrees
Sites, in units of the cell vectors:
La1 0.000 0.000 0.000
Pm1 0.250 0.250 0.250
Th1 0.500 0.500 0.500
Ga1 0.750 0.750 0.750